No. 1
{"formula": "CdPbAu2", "functional": "GGA-PBEsol", "state": "relaxed", "lattice": [[3.4134, 0.0000, 0.0000], [-1.7067, 4.3549, 0.0709], [0.0000, -1.4332, 5.7523]], "species": ["Cd", "Au", "Au", "Pb"], "fractional_positions": [[0.0000, 0.0000, 0.5000], [0.7445, 0.4889, 0.7170], [0.2555, 0.5111, 0.2830], [0.5000, 0.0000, 0.0000]], "dos_at_fermi_per_ev_cell": 1.41, "formation_enthalpy_0k_mev_per_atom": 0, "space_group": "C2/m (12)", "total_magnetization_mub_per_fu": 0.00}

No. 2
{"formula": "K4ScCr", "functional": "GGA-PBEsol", "state": "relaxed", "lattice": [[7.1656, 0.0000, 0.0000], [3.5828, 6.2056, 0.0000], [3.5828, 2.0685, 5.8507]], "species": ["Cr", "K", "K", "K", "K", "Sc"], "fractional_positions": [[0.0000, 0.0000, 0.0000], [0.3742, 0.3742, 0.8775], [0.3742, 0.8775, 0.3742], [0.3742, 0.3742, 0.3742], [0.8775, 0.3742, 0.3742], [0.7500, 0.7500, 0.7500]], "dos_at_fermi_per_ev_cell": 7.83, "formation_enthalpy_0k_mev_per_atom": 1077, "space_group": "F-43m (216)", "total_magnetization_mub_per_fu": 6.33}

No. 3
{"formula": "BeRe2Tc", "functional": "GGA-PBEsol", "state": "relaxed", "lattice": [[-0.6088, 2.7681, -2.3633], [-3.6222, -0.2260, 0.6684], [2.4916, 1.2913, 3.7518]], "species": ["Re", "Re", "Be", "Tc"], "fractional_positions": [[0.7500, 0.2500, 0.5000], [0.0000, 0.0000, 0.0000], [0.2500, 0.7500, 0.5000], [0.5000, 0.5000, 0.0000]], "dos_at_fermi_per_ev_cell": 2.85, "formation_enthalpy_0k_mev_per_atom": 186, "space_group": "I-4m2 (119)", "total_magnetization_mub_per_fu": 0.00}

No. 4
{"formula": "TiSO5", "functional": "GGA-PBEsol", "state": "relaxed", "lattice": [[5.2561, 0.0000, 0.0000], [0.0000, 6.5918, 0.0000], [0.0000, 0.0000, 11.1116]], "species": ["O", "O", "O", "O", "O", "O", "O", "O", "O", "O", "O", "O", "O", "O", "O", "O", "O", "O", "O", "O", "S", "S", "S", "S", "Ti", "Ti", "Ti", "Ti"], "fractional_positions": [[0.2500, 0.8278, 0.4102], [0.5183, 0.8628, 0.6266], [0.0183, 0.1372, 0.3734], [0.5183, 0.6372, 0.1266], [0.2500, 0.6722, 0.9102], [0.9817, 0.6372, 0.1266], [0.9817, 0.8628, 0.6266], [0.7500, 0.0233, 0.7851], [0.5000, 0.0000, 0.0000], [0.5000, 0.5000, 0.5000], [0.7500, 0.4767, 0.2851], [0.4817, 0.1372, 0.3734], [0.4817, 0.3628, 0.8734], [0.0000, 0.0000, 0.0000], [0.0183, 0.3628, 0.8734], [0.2500, 0.5233, 0.7149], [0.7500, 0.3278, 0.0898], [0.0000, 0.5000, 0.5000], [0.7500, 0.1722, 0.5898], [0.2500, 0.9767, 0.2149], [0.7500, 0.5239, 0.1549], [0.2500, 0.0239, 0.3451], [0.2500, 0.4761, 0.8451], [0.7500, 0.9761, 0.6549], [0.2500, 0.6572, 0.5570], [0.7500, 0.3428, 0.4430], [0.2500, 0.8428, 0.0570], [0.7500, 0.1572, 0.9430]], "de_polymorph_mev_per_atom": 0, "dos_at_fermi_per_ev_cell": 0.00, "formation_energy_uncorrected_ev_per_fu": -14.5, "space_group": "Pnma (62)", "total_magnetization_mub_per_fu": 0.00}